No. 1
This record from OQMD via LeMat-Bulk describes a geometry-optimized Li6Hg2O7 structure. The functional is PBE-GGA.

Properties
For the total energy, the calculation gives -0.305 Ry per atom. Its crystal system is triclinic.

Cell: 5.2940 5.4605 6.0070 Å, 70.24 88.46 79.46°
With the nearest neighbours (Å) after each atom.
Fractional positions:
1 Li 0.0811 0.2767 0.4404  5 O 2.01-2.14
2 Li 0.3681 0.7220 0.8337  5 O 2.04-2.29
3 Li 0.3758 0.7153 0.3068  4 O 1.99-2.15
4 Li 0.6242 0.2847 0.6932  4 O 1.99-2.15
5 Li 0.6319 0.2780 0.1663  5 O 2.04-2.29
6 Li 0.9189 0.7233 0.5596  5 O 2.01-2.14
7 Hg 0.1282 0.2520 0.9344  5 O 2.06-2.28
8 Hg 0.8718 0.7480 0.0656  5 O 2.06-2.28
9 O 0.0011 0.0195 0.2612  4 Li 2.07-2.30, 1 Hg 2.12
10 O 0.2618 0.4771 0.6200  4 Li 1.99-2.12, 1 Hg 2.06
11 O 0.2628 0.4807 0.1503  4 Li 2.00-2.05
12 O 0.5000 0.0000 0.0000  2 Hg 2.15, 4 Li 2.15-2.29
13 O 0.7372 0.5193 0.8497  4 Li 2.00-2.05
14 O 0.7382 0.5229 0.3800  4 Li 1.99-2.12, 1 Hg 2.06
15 O 0.9989 0.9805 0.7388  4 Li 2.07-2.30, 1 Hg 2.12

---

No. 2
This record from OQMD via LeMat-Bulk describes a geometry-optimized Li2Hg2O5 structure. The functional is PBE-GGA.

Properties
Its offset from the most stable computed form is 0.0 kJ/mol of atoms. Its crystal system is tetragonal.

Cell: 3.4860 3.4860 8.3572 Å, 90.00 90.00 90.00°
With the nearest neighbours (Å) after each atom.
Fractional positions:
1 Li 0.0000 0.0000 0.2296  5 O 1.92
2 Li 0.0000 0.0000 0.7704  5 O 1.92
3 Hg 0.5000 0.5000 0.0000  4 O 2.47
4 Hg 0.5000 0.5000 0.5000  8 O 2.27
5 O 0.0000 0.0000 0.0000  2 Li 1.92
6 O 0.0000 0.5000 0.3267  2 Li 1.92
7 O 0.0000 0.5000 0.6733  2 Li 1.92
8 O 0.5000 0.0000 0.3267  2 Li 1.92
9 O 0.5000 0.0000 0.6733  2 Li 1.92

---

No. 3
This record from OQMD via LeMat-Bulk describes a geometry-optimized LiHg3OsO4 structure. The functional is PBE-GGA.

Properties
For the total magnetic moment, the calculation gives 0.54 μB per atom. For the total energy, the calculation gives -0.264 Ry per atom. Its crystal system is cubic.

Cell: 5.4296 5.4296 5.4296 Å, 90.00 90.00 90.00°
With the nearest neighbours (Å) after each atom.
Fractional positions:
1 Li 0.0000 0.0000 0.0000  4 O 2.32
2 Hg 0.0000 0.5000 0.5000  4 O 2.36
3 Hg 0.5000 0.0000 0.5000  4 O 2.36
4 Hg 0.5000 0.5000 0.0000  4 O 2.36
5 Os 0.5000 0.5000 0.5000  4 O 2.38
6 O 0.2470 0.2470 0.2470  1 Li 2.32, 3 Hg 2.36, 1 Os 2.38
7 O 0.2470 0.7530 0.7530  1 Li 2.32, 3 Hg 2.36, 1 Os 2.38
8 O 0.7530 0.2470 0.7530  1 Li 2.32, 3 Hg 2.36, 1 Os 2.38
9 O 0.7530 0.7530 0.2470  1 Li 2.32, 3 Hg 2.36, 1 Os 2.38

---

No. 4
This record from OQMD via LeMat-Bulk describes a geometry-optimized Li2HgP4O12 structure. The functional is PBE-GGA.

Properties
For the total energy, the calculation gives -0.477 Ry per atom. Its crystal system is monoclinic.

Cell: 9.4284 9.7676 9.4627 Å, 90.00 92.23 90.00°
With the nearest neighbours (Å) after each atom.
Fractional positions:
1 Li 0.1106 0.1652 0.0033  4 O 1.96-2.00
2 Li 0.1106 0.3348 0.5033  4 O 1.96-2.00
3 Li 0.3894 0.1655 0.9997  4 O 1.97-2.01
4 Li 0.3894 0.3345 0.4997  4 O 1.97-2.01
5 Li 0.6106 0.6655 0.5003  4 O 1.97-2.01
6 Li 0.6106 0.8345 0.0003  4 O 1.97-2.01
7 Li 0.8894 0.6652 0.4967  4 O 1.96-2.00
8 Li 0.8894 0.8348 0.9967  4 O 1.96-2.00
9 Hg 0.2539 0.6895 0.5129  2 O 2.15-2.19
10 Hg 0.2539 0.8105 0.0129  2 O 2.15-2.19
11 Hg 0.7461 0.1895 0.9871  2 O 2.15-2.19
12 Hg 0.7461 0.3105 0.4871  2 O 2.15-2.19
13 P 0.0389 0.6105 0.7957  4 O 1.50-1.62
14 P 0.0389 0.8895 0.2957  4 O 1.50-1.62
15 P 0.2336 0.5314 0.2288  4 O 1.49-1.59
16 P 0.2336 0.9686 0.7288  4 O 1.49-1.59
17 P 0.2701 0.0975 0.3075  4 O 1.49-1.63
18 P 0.2701 0.4025 0.8075  4 O 1.49-1.63
19 P 0.4972 0.6025 0.8035  4 O 1.50-1.62
20 P 0.4972 0.8975 0.3035  4 O 1.50-1.62
21 P 0.5028 0.1025 0.6965  4 O 1.50-1.62
22 P 0.5028 0.3975 0.1965  4 O 1.50-1.62
23 P 0.7299 0.5975 0.1925  4 O 1.49-1.63
24 P 0.7299 0.9025 0.6925  4 O 1.49-1.63
25 P 0.7664 0.0314 0.2712  4 O 1.49-1.59
26 P 0.7664 0.4686 0.7712  4 O 1.49-1.59
27 P 0.9611 0.1105 0.7043  4 O 1.50-1.62
28 P 0.9611 0.3895 0.2043  4 O 1.50-1.62
29 O 0.0294 0.7398 0.8800  1 P 1.50
30 O 0.0294 0.7602 0.3800  1 P 1.50
31 O 0.0380 0.6124 0.6376  1 P 1.50
32 O 0.0380 0.8876 0.1376  1 P 1.50
33 O 0.0864 0.0091 0.6547  2 P 1.58-1.62
34 O 0.0864 0.4909 0.1547  2 P 1.58-1.62
35 O 0.1744 0.5302 0.8596  2 P 1.60-1.63
36 O 0.1744 0.9698 0.3596  2 P 1.60-1.63
37 O 0.2382 0.5016 0.3864  1 P 1.52
38 O 0.2382 0.9984 0.8864  1 P 1.52
39 O 0.2439 0.2176 0.3996  1 P 1.49
40 O 0.2439 0.2824 0.8996  1 P 1.49
41 O 0.2577 0.1114 0.1504  1 P 1.49
42 O 0.2577 0.3886 0.6504  1 P 1.49
43 O 0.2671 0.6766 0.1936  1 P 1.49
44 O 0.2671 0.8234 0.6936  1 P 1.49
45 O 0.3384 0.0705 0.6541  2 P 1.59-1.62
46 O 0.3384 0.4295 0.1541  2 P 1.59-1.62
47 O 0.4238 0.0367 0.3559  2 P 1.61-1.62
48 O 0.4238 0.4633 0.8559  2 P 1.61-1.62
49 O 0.4628 0.7199 0.8980  1 P 1.50
50 O 0.4628 0.7801 0.3980  1 P 1.50
51 O 0.4781 0.6118 0.6457  1 P 1.50
52 O 0.4781 0.8882 0.1457  1 P 1.50
53 O 0.5219 0.1118 0.8543  1 P 1.50
54 O 0.5219 0.3882 0.3543  1 P 1.50
55 O 0.5372 0.2199 0.6020  1 P 1.50
56 O 0.5372 0.2801 0.1020  1 P 1.50
57 O 0.5762 0.5367 0.1441  2 P 1.61-1.62
58 O 0.5762 0.9633 0.6441  2 P 1.61-1.62
59 O 0.6616 0.5705 0.8459  2 P 1.59-1.62
60 O 0.6616 0.9295 0.3459  2 P 1.59-1.62
61 O 0.7329 0.1766 0.3064  1 P 1.49
62 O 0.7329 0.3234 0.8064  1 P 1.49
63 O 0.7423 0.6114 0.3496  1 P 1.49
64 O 0.7423 0.8886 0.8496  1 P 1.49
65 O 0.7561 0.7176 0.1004  1 P 1.49
66 O 0.7561 0.7824 0.6004  1 P 1.49
67 O 0.7618 0.0016 0.1136  1 P 1.52
68 O 0.7618 0.4984 0.6136  1 P 1.52
69 O 0.8256 0.0302 0.6404  2 P 1.60-1.63
70 O 0.8256 0.4698 0.1404  2 P 1.60-1.63
71 O 0.9136 0.5091 0.8453  2 P 1.58-1.62
72 O 0.9136 0.9909 0.3453  2 P 1.58-1.62
73 O 0.9620 0.1124 0.8624  1 P 1.50
74 O 0.9620 0.3876 0.3624  1 P 1.50
75 O 0.9706 0.2398 0.6200  1 P 1.50
76 O 0.9706 0.2602 0.1200  1 P 1.50

---

No. 5
This record from OQMD via LeMat-Bulk describes a geometry-optimized LiHg3PbO4 structure. The functional is PBE-GGA.

Properties
For the total energy, the calculation gives -0.227 Ry per atom. Its crystal system is cubic.

Cell: 5.5775 5.5775 5.5775 Å, 90.00 90.00 90.00°
With the nearest neighbours (Å) after each atom.
Fractional positions:
1 Li 0.0000 0.0000 0.0000  4 O 2.33
2 Hg 0.0000 0.5000 0.5000  4 O 2.45
3 Hg 0.5000 0.0000 0.5000  4 O 2.45
4 Hg 0.5000 0.5000 0.0000  4 O 2.45
5 Pb 0.5000 0.5000 0.5000  4 O 2.50, 6 Hg 2.79
6 O 0.2411 0.2411 0.2411  1 Li 2.33, 3 Hg 2.45, 1 Pb 2.50
7 O 0.2411 0.7589 0.7589  1 Li 2.33, 3 Hg 2.45, 1 Pb 2.50
8 O 0.7589 0.2411 0.7589  1 Li 2.33, 3 Hg 2.45, 1 Pb 2.50
9 O 0.7589 0.7589 0.2411  1 Li 2.33, 3 Hg 2.45, 1 Pb 2.50

---

No. 6
This record from OQMD via LeMat-Bulk describes a geometry-optimized LiReHg3O4 structure. The functional is PBE-GGA.

Properties
For the total magnetic moment, the calculation gives 0.00 μB per atom. For the total energy, the calculation gives -0.337 Ry per atom. Its crystal system is cubic.

Cell: 7.0476 7.0476 7.0476 Å, 90.00 90.00 90.00°
With the nearest neighbours (Å) after each atom.
Fractional positions:
1 Li 0.0000 0.0000 0.0000  4 O 4.34
2 Re 0.5000 0.5000 0.5000  4 O 1.77
3 Hg 0.0000 0.5000 0.5000  4 O 2.89
4 Hg 0.5000 0.0000 0.5000  4 O 2.89
5 Hg 0.5000 0.5000 0.0000  4 O 2.89
6 O 0.3554 0.3554 0.3554  1 Re 1.77
7 O 0.3554 0.6446 0.6446  1 Re 1.77
8 O 0.6446 0.3554 0.6446  1 Re 1.77
9 O 0.6446 0.6446 0.3554  1 Re 1.77

---

No. 7
This record from OQMD via LeMat-Bulk describes a geometry-optimized LiSmHgO3 structure. The functional is PBE-GGA.

Properties
For the total magnetic moment, the calculation gives 0.00 μB per atom. For the total energy, the calculation gives -0.401 Ry per atom. Its crystal system is orthorhombic.

Cell: 5.8154 5.8154 8.7232 Å, 90.00 90.00 142.75°
With the nearest neighbours (Å) after each atom.
Fractional positions:
1 Li 0.1240 0.8760 0.7500  2 O 1.97
2 Li 0.8760 0.1240 0.2500  2 O 1.97
3 Sm 0.5000 0.5000 0.0000  6 O 2.30-2.37
4 Sm 0.5000 0.5000 0.5000  6 O 2.30-2.37
5 Hg 0.1702 0.8298 0.2500  2 O 2.04
6 Hg 0.8298 0.1702 0.7500  2 O 2.04
7 O 0.1328 0.8672 0.0207  1 Hg 2.04
8 O 0.1328 0.8672 0.4793  1 Hg 2.04
9 O 0.4345 0.5655 0.2500  2 Li 1.97
10 O 0.5655 0.4345 0.7500  2 Li 1.97
11 O 0.8672 0.1328 0.5207  1 Hg 2.04
12 O 0.8672 0.1328 0.9793  1 Hg 2.04

---

No. 8
This record from OQMD via LeMat-Bulk describes a geometry-optimized LiTmHgO3 structure. The functional is PBE-GGA.

Properties
For the total magnetic moment, the calculation gives 0.00 μB per atom. For the total energy, the calculation gives -0.370 Ry per atom. Its crystal system is orthorhombic.

Cell: 5.4403 5.4403 8.3368 Å, 90.00 90.00 139.31°
With the nearest neighbours (Å) after each atom.
Fractional positions:
1 Li 0.1582 0.8418 0.7500  4 O 1.97-2.08
2 Li 0.8418 0.1582 0.2500  4 O 1.97-2.08
3 Tm 0.5000 0.5000 0.0000  4 O 2.16-2.22
4 Tm 0.5000 0.5000 0.5000  4 O 2.16-2.22
5 Hg 0.1673 0.8327 0.2500  4 O 2.33, 2 Li 2.60
6 Hg 0.8327 0.1673 0.7500  4 O 2.33, 2 Li 2.60
7 O 0.3022 0.6978 0.5916  1 Li 1.97, 1 Tm 2.16
8 O 0.3022 0.6978 0.9084  1 Li 1.97, 1 Tm 2.16
9 O 0.4264 0.5736 0.2500  2 Li 2.08, 2 Tm 2.22
10 O 0.5736 0.4264 0.7500  2 Li 2.08, 2 Tm 2.22
11 O 0.6978 0.3022 0.0916  1 Li 1.97, 1 Tm 2.16
12 O 0.6978 0.3022 0.4084  1 Li 1.97, 1 Tm 2.16

---

No. 9
This record from OQMD via LeMat-Bulk describes a geometry-optimized LiZrHg3O4 structure. The functional is PBE-GGA.

Properties
For the total magnetic moment, the calculation gives 0.00 μB per atom. For the total energy, the calculation gives -0.319 Ry per atom. Its crystal system is cubic.

Cell: 5.9509 5.9509 5.9509 Å, 90.00 90.00 90.00°
With the nearest neighbours (Å) after each atom.
Fractional positions:
1 Li 0.0000 0.0000 0.0000  4 O 3.12
2 Zr 0.5000 0.5000 0.5000  4 O 2.04
3 Hg 0.0000 0.5000 0.5000  4 O 2.45
4 Hg 0.5000 0.0000 0.5000  4 O 2.45
5 Hg 0.5000 0.5000 0.0000  4 O 2.45
6 O 0.3023 0.3023 0.3023  1 Zr 2.04
7 O 0.3023 0.6977 0.6977  1 Zr 2.04
8 O 0.6977 0.3023 0.6977  1 Zr 2.04
9 O 0.6977 0.6977 0.3023  1 Zr 2.04

---

No. 10
This record from OQMD via LeMat-Bulk describes a geometry-optimized LiHgOs2 structure. The functional is PBE-GGA.

Properties
For the total magnetic moment, the calculation gives 0.00 μB per atom. For the total energy, the calculation gives -0.415 Ry per atom. Its crystal system is cubic.

Cell: 4.4082 4.4082 4.4082 Å, 60.00 60.00 60.00°
With the nearest neighbours (Å) after each atom.
Fractional positions:
1 Li 0.0000 0.0000 0.0000  4 Os 2.70, 4 Hg 2.70
2 Hg 0.2500 0.2500 0.2500  4 Li 2.70, 4 Os 2.70
3 Os 0.5000 0.5000 0.5000  4 Os 2.70, 4 Hg 2.70
4 Os 0.7500 0.7500 0.7500  4 Li 2.70, 4 Os 2.70

---

Volume across the listed records, respectively: 161, 102, 160, 871, 174, 350, 179, 161, 211, 61 Å³ per cell.